Entry from the Alexandria database: a geometry-optimized Nd2Cd2Pd15 structure (PBE).

Cell and atoms, written as POSCAR:
```
Nd2Cd2Pd15
1.0
4.603 2.658 4.623
-4.603 2.658 4.623
0.000 -5.315 4.623
Nd Cd Pd
2 2 15
Cartesian
0.000 0.000 2.101
0.000 0.000 11.767
0.000 0.000 5.555
0.000 0.000 8.314
-2.302 -1.329 4.623
0.000 -2.695 4.452
-2.334 1.347 4.452
-1.419 -2.458 6.934
-2.838 0.000 6.934
-2.334 -1.347 9.417
-2.302 1.329 9.246
1.419 -2.458 6.934
0.000 2.658 4.623
-1.419 2.458 6.934
2.334 1.347 4.452
2.838 0.000 6.934
1.419 2.458 6.934
2.334 -1.347 9.417
0.000 2.695 9.417
```

Output
E_form: -390 meV/atom
DOS(E_F): 19.7 states/eV/cell
Space-group type: R-3m (166)
Raw total energy: -96.66 eV for the cell shown